# KReRh2 (meta-GGA SCAN, single point on PBEsol structure)
# **Calculated total energy**: -35.81 eV per atom
# **Space group**: P4/mmm, No. 123
data_KReRh2
_symmetry_space_group_name_H-M 'P 1'
_symmetry_Int_Tables_number 1
_symmetry_space_group_name_Hall 'P 1'
_cell_length_a 2.7344
_cell_length_b 4.8242
_cell_length_c 4.8242
_cell_angle_alpha 90.00
_cell_angle_beta 90.00
_cell_angle_gamma 90.00
loop_
_atom_site_label
_atom_site_fract_x
_atom_site_fract_y
_atom_site_fract_z
_atom_site_occupancy
K1 0.5000 0.5000 0.5000 1
Re1 0.5000 0.0000 0.0000 1
Rh1 0.0000 0.5000 0.0000 1
Rh2 0.0000 0.0000 0.5000 1